VASP calculation (meta-GGA SCAN) on a crystal of Li2MgPb relaxed with PBEsol.

Unit cell a=3.563 b=3.563 c=6.576 alpha=90.00 beta=90.00 gamma=90.00
Element x y z (fractional)
1 Li 0.000 0.000 0.000
2 Li 0.500 0.500 0.234
3 Mg 0.000 0.000 0.483
4 Pb 0.500 0.500 0.763

Results
For the formation energy from the elements, the calculation gives -251.9 meV/atom. Its density of states at the Fermi level is 1.1 states/eV per cell.